Entry 1:
The following is a PBE-GGA calculation of a geometry-optimized Er2Tl3InSe6 structure, from Alexandria via LeMat-Bulk.

```
data_Er2Tl3InSe6
_chemical_formula_sum 'Er4 Tl6 In2 Se12'
_space_group_name_H-M_alt 'C 1 2/m 1'
_space_group_IT_number 12
_cell_length_a 7.1665
_cell_length_b 12.4023
_cell_length_c 8.1457
_cell_angle_alpha 90.00
_cell_angle_beta 107.11
_cell_angle_gamma 90.00
loop_
_space_group_symop_operation_xyz
'x,y,z'
'-x,-y,-z'
'-x,y,-z'
'x,-y,z'
'x+1/2,y+1/2,z'
'-x+1/2,-y+1/2,-z'
'-x+1/2,y+1/2,-z'
'x+1/2,-y+1/2,z'
loop_
_atom_site_label
_atom_site_fract_x
_atom_site_fract_y
_atom_site_fract_z
Er1 0.0000 0.1663 0.0000
Tl1 0.0000 0.0000 0.5000
Tl2 0.0000 0.3301 0.5000
In1 0.0000 0.5000 0.0000
Se1 0.2309 0.3359 0.2004
Se2 0.2388 0.0000 0.2042
```

Calculated values
* crystal system: monoclinic
* E_form (uncorrected): -12.8 eV/f.u.
* electronic total energy: -4.3865 eV/atom

Entry 2:
The following is a PBE-GGA calculation of a geometry-optimized Nd2Dy3Ho6Er structure, from Alexandria via LeMat-Bulk.

```
data_Nd2Dy3Ho6Er
_chemical_formula_sum 'Nd4 Dy6 Ho12 Er2'
_space_group_name_H-M_alt 'C 1 2/m 1'
_space_group_IT_number 12
_cell_length_a 6.1544
_cell_length_b 10.6516
_cell_length_c 11.7628
_cell_angle_alpha 90.00
_cell_angle_beta 100.00
_cell_angle_gamma 90.00
loop_
_space_group_symop_operation_xyz
'x,y,z'
'-x,-y,-z'
'-x,y,-z'
'x,-y,z'
'x+1/2,y+1/2,z'
'-x+1/2,-y+1/2,-z'
'-x+1/2,y+1/2,-z'
'x+1/2,-y+1/2,z'
loop_
_atom_site_label
_atom_site_fract_x
_atom_site_fract_y
_atom_site_fract_z
Nd1 0.0000 0.1665 0.0000
Dy1 0.0000 0.0000 0.5000
Dy2 0.0000 0.3335 0.5000
Ho1 0.2478 0.5000 0.7474
Ho2 0.2492 0.1662 0.7478
Er1 0.0000 0.5000 0.0000
```

Calculated values
* E_form: 17 meV per atom
* crystal system: monoclinic
* electronic total energy: -4.5968 eV/atom

Entry 3:
The following is a PBE-GGA calculation of a geometry-optimized Pa2Si4Rh3Au structure, from Alexandria via LeMat-Bulk.

```
data_Pa2Si4Rh3Au
_chemical_formula_sum 'Pa2 Si4 Rh3 Au1'
_space_group_name_H-M_alt 'P -4 m 2'
_space_group_IT_number 115
_cell_length_a 4.1703
_cell_length_b 4.1703
_cell_length_c 9.8647
_cell_angle_alpha 90.00
_cell_angle_beta 90.00
_cell_angle_gamma 90.00
loop_
_space_group_symop_operation_xyz
'x,y,z'
'y,-x,-z'
'-x,-y,z'
'-y,x,-z'
'-x,y,z'
'-y,-x,-z'
'x,-y,z'
'y,x,-z'
loop_
_atom_site_label
_atom_site_fract_x
_atom_site_fract_y
_atom_site_fract_z
Pa1 0.0000 0.5000 0.2418
Si1 0.0000 0.0000 0.0000
Si2 0.0000 0.5000 0.6412
Si3 0.5000 0.5000 0.0000
Rh1 0.0000 0.5000 0.8780
Rh2 0.5000 0.5000 0.5000
Au1 0.0000 0.0000 0.5000
```

Calculated values
* crystal system: tetragonal
* E_form (uncorrected): -8.1 eV/f.u.
* electronic total energy: -7.4133 eV/atom

Entry 4:
The following is a PBE-GGA calculation of a geometry-optimized Pr2MgMnTe5 structure, from Alexandria via LeMat-Bulk.

```
data_Pr2MgMnTe5
_chemical_formula_sum 'Pr8 Mg4 Mn4 Te20'
_space_group_name_H-M_alt 'C m c 21'
_space_group_IT_number 36
_cell_length_a 4.3957
_cell_length_b 18.9788
_cell_length_c 12.9533
_cell_angle_alpha 90.00
_cell_angle_beta 90.00
_cell_angle_gamma 90.00
loop_
_space_group_symop_operation_xyz
'x,y,z'
'-x,-y,z+1/2'
'-x,y,z'
'x,-y,z+1/2'
'x+1/2,y+1/2,z'
'-x+1/2,-y+1/2,z+1/2'
'-x+1/2,y+1/2,z'
'x+1/2,-y+1/2,z+1/2'
loop_
_atom_site_label
_atom_site_fract_x
_atom_site_fract_y
_atom_site_fract_z
Pr1 0.0000 0.1148 0.0000
Pr2 0.0000 0.1253 0.6174
Mg1 0.0000 0.2022 0.3259
Mn1 0.0000 0.4225 0.7761
Te1 0.0000 0.0452 0.3828
Te2 0.0000 0.2890 0.9771
Te3 0.0000 0.3037 0.6580
Te4 0.0000 0.3534 0.3120
Te5 0.0000 0.4968 0.5994
```

Calculated values
* crystal system: orthorhombic
* E_form (uncorrected): -9.0 eV/f.u.
* electronic total energy: -5.0085 eV/atom

Entry 5:
The following is a PBE-GGA calculation of a geometry-optimized CoTcBr2 structure, from Alexandria via LeMat-Bulk.

```
data_CoTcBr2
_chemical_formula_sum 'Co1 Tc1 Br2'
_space_group_name_H-M_alt 'P 1 2/m 1'
_space_group_IT_number 10
_cell_length_a 4.9697
_cell_length_b 3.5088
_cell_length_c 5.4484
_cell_angle_alpha 90.00
_cell_angle_beta 90.42
_cell_angle_gamma 90.00
loop_
_space_group_symop_operation_xyz
'x,y,z'
'-x,-y,-z'
'-x,y,-z'
'x,-y,z'
loop_
_atom_site_label
_atom_site_fract_x
_atom_site_fract_y
_atom_site_fract_z
Co1 0.0000 0.0000 0.0000
Tc1 0.5000 0.0000 0.0000
Br1 0.2488 0.5000 0.7388
```

Calculated values
* crystal system: monoclinic
* offset from the most stable computed form: 455 meV/atom
* E_form (uncorrected): 2.4 eV/f.u.
* electronic total energy: -4.5923 eV/atom

Entry 6:
The following is a PBE-GGA calculation of a geometry-optimized La5Ge2PN structure, from Alexandria via LeMat-Bulk.

```
data_La5Ge2PN
_chemical_formula_sum 'La5 Ge2 P1 N1'
_space_group_name_H-M_alt 'P 4/m m m'
_space_group_IT_number 123
_space_group_name_Hall '-P 4 2'
_cell_length_a 4.7545
_cell_length_b 4.7545
_cell_length_c 11.4048
_cell_angle_alpha 90.00
_cell_angle_beta 90.00
_cell_angle_gamma 90.00
loop_
_atom_site_label
_atom_site_fract_x
_atom_site_fract_y
_atom_site_fract_z
La1 0.0000 0.0000 0.0000
La2 0.0000 0.5000 0.5000
La3 0.5000 0.5000 0.2467
Ge1 0.0000 0.0000 0.2893
P1 0.5000 0.5000 0.0000
N1 0.5000 0.5000 0.5000
```

Calculated values
* crystal system: tetragonal
* E_form (uncorrected): -8.5 eV/f.u.
* electronic total energy: -6.2393 eV/atom

Entry 7:
The following is a PBE-GGA calculation of a geometry-optimized Li3DyTl3 structure, from Alexandria via LeMat-Bulk.

```
data_Li3DyTl3
_chemical_formula_sum 'Li6 Dy2 Tl6'
_space_group_name_H-M_alt 'P m -3 n'
_space_group_IT_number 223
_space_group_name_Hall '-P 4n 2 3'
_cell_length_a 7.1344
_cell_length_b 7.1344
_cell_length_c 7.1344
_cell_angle_alpha 90.00
_cell_angle_beta 90.00
_cell_angle_gamma 90.00
loop_
_atom_site_label
_atom_site_fract_x
_atom_site_fract_y
_atom_site_fract_z
Li1 0.0000 0.2500 0.5000
Dy1 0.0000 0.0000 0.0000
Tl1 0.0000 0.5000 0.2500
```

Calculated values
* E_form: 219 meV per atom
* crystal system: cubic
* electronic total energy: -2.2730 eV/atom

Entry 8:
The following is a PBE-GGA calculation of a geometry-optimized Np4PbS8 structure, from Alexandria via LeMat-Bulk.

```
data_Np4PbS8
_chemical_formula_sum 'Np16 Pb4 S32'
_space_group_name_H-M_alt 'F -4 3 m'
_space_group_IT_number 216
_space_group_name_Hall 'F -4 2 3'
_cell_length_a 11.5567
_cell_length_b 11.5567
_cell_length_c 11.5567
_cell_angle_alpha 90.00
_cell_angle_beta 90.00
_cell_angle_gamma 90.00
loop_
_atom_site_label
_atom_site_fract_x
_atom_site_fract_y
_atom_site_fract_z
Np1 0.1219 0.1219 0.1219
Pb1 0.0000 0.0000 0.5000
S1 0.1107 0.1107 0.8893
S2 0.1405 0.1405 0.3595
```

Calculated values
* crystal system: cubic
* offset from the most stable computed form: 20 meV/atom
* E_form (uncorrected): -15.2 eV/f.u.
* electronic total energy: -7.9767 eV/atom